Na3Zn2In3: relaxed, PBE-GGA.

POSCAR file:
```
Na3Zn2In3
1.0
4.720 0.000 0.000
-2.360 5.580 0.000
0.000 0.000 15.695
Na Zn In
6 4 6
Direct
0.927 0.853 0.388
0.073 0.147 0.888
0.927 0.853 0.112
0.073 0.147 0.612
0.643 0.287 0.250
0.357 0.713 0.750
0.784 0.568 0.894
0.216 0.432 0.394
0.784 0.568 0.606
0.216 0.432 0.106
0.627 0.253 0.461
0.373 0.747 0.961
0.627 0.253 0.039
0.373 0.747 0.539
0.355 0.709 0.250
0.645 0.291 0.750
```

Values from the calculation:
* ΔH_f (0 K): -5 kJ/mol of atoms
* SG: Cmcm, No. 63

=====

Na2ZnIn3: relaxed, PBE-GGA.

POSCAR file:
```
Na2ZnIn3
1.0
4.494 0.000 1.882
1.998 5.584 1.535
0.016 -0.078 6.268
Na Zn In
2 1 3
Direct
0.553 0.194 0.700
0.443 0.808 0.306
0.166 0.388 0.280
0.856 0.601 0.687
0.822 0.236 0.121
0.160 0.774 0.906
```

Values from the calculation:
* ΔH_f (0 K): -9 kJ/mol of atoms
* SG: Cm, No. 8

=====

Na2Zn2In3: relaxed, PBE-GGA.

POSCAR file:
```
Na2Zn2In3
1.0
-1.965 -1.292 -4.068
-4.468 -5.190 3.806
-5.894 7.422 3.204
Na Zn In
4 4 6
Direct
0.156 0.250 0.312
0.844 0.750 0.688
0.950 0.250 0.899
0.050 0.750 0.101
0.695 0.926 0.391
0.305 0.074 0.609
0.305 0.426 0.609
0.695 0.574 0.391
0.231 0.750 0.461
0.769 0.250 0.539
0.568 0.434 0.136
0.432 0.566 0.864
0.432 0.934 0.864
0.568 0.066 0.136
```

Values from the calculation:
* ΔH_f (0 K): 0 kJ/mol of atoms
* E above lowest polymorph: 0.91 kcal/mol of atoms
* SG: Cmcm, No. 63

=====

Number 1: spin magnetization 0.000 μB/f.u.. Number 2: spin magnetization 0.000 μB/f.u.. Number 3: spin magnetization 0.000 μB/f.u..